Record 1
5
Lattice="4.4973 0.0000 0.0000 0.0000 4.4973 0.0000 0.0000 0.0000 4.4973" Properties=species:S:1:pos:R:3 comment="MgOs3S | Alexandria | PBE-GGA | optimized geometry" space_group="Pm-3m, No. 221" total_magnetization_mub_per_atom=0.15 formation_energy_uncorrected_kcal_per_mol_atoms=64.3 dft_energy_ev_per_cell=-25.47 density_g_cm3=11.4 de_polymorph_ev_per_atom=1.9681 pbc="T T T"
Os 0.0000 0.0000 2.2486
Os 2.2486 0.0000 0.0000
Os 0.0000 2.2486 0.0000
Mg 0.0000 0.0000 0.0000
S 2.2486 2.2486 2.2486



Record 2
11
Lattice="6.5359 -0.0343 0.0678 -3.2602 5.6648 0.0678 -1.1545 -1.9845 7.4910" Properties=species:S:1:pos:R:3 comment="K2MgZr2S6 | Alexandria | PBE-GGA | optimized geometry" space_group="C2/m, No. 12" total_magnetization_mub_per_atom=0.00 formation_energy_uncorrected_kcal_per_mol_atoms=-34.9 dft_energy_ev_per_cell=-62.31 density_g_cm3=2.8 pbc="T T T"
S 0.4897 4.6782 2.4194
S -1.7036 0.9081 5.2072
S 1.5718 2.7017 5.2692
S 1.6315 -1.0321 5.2072
S 0.5494 0.9443 2.3574
S 3.8248 2.7380 2.4194
K 4.9235 0.9038 0.0678
K -1.6478 4.7267 0.0678
Zr 2.6916 0.8741 3.8133
Zr -0.5705 2.7719 3.8133
Mg -0.5773 -0.9922 3.7455



Record 3
8
Lattice="5.2074 0.0000 0.0000 0.0000 5.2074 0.0000 0.0000 0.0000 5.1665" Properties=species:S:1:pos:R:3 comment="TaRu | Alexandria | PBE-GGA | optimized geometry" space_group="P4_2/mnm, No. 136" total_magnetization_mub_per_atom=0.00 dft_energy_ev_per_cell=-82.38 density_g_cm3=13.4 ef_ev_per_fu=0.5 pbc="T T T"
Ru 3.7005 1.5069 0.0000
Ru 1.0968 1.0968 2.5832
Ru 1.5069 3.7005 0.0000
Ru 4.1106 4.1106 2.5832
Ta 4.0995 4.0995 0.0000
Ta 3.7116 1.4958 2.5832
Ta 1.1079 1.1079 0.0000
Ta 1.4958 3.7116 2.5832



Record 4
9
Lattice="4.1045 0.0000 0.0000 2.0522 5.0799 -0.2295 2.0522 1.8567 6.3575" Properties=species:S:1:pos:R:3 comment="Ti6PtN2 | Alexandria | PBE-GGA | optimized geometry" space_group="C2/m, No. 12" total_magnetization_mub_per_atom=0.00 formation_energy_uncorrected_kcal_per_mol_atoms=-19.4 dft_energy_ev_per_cell=-77.65 density_g_cm3=6.3 pbc="T T T"
Ti 4.1045 4.9879 3.4807
Ti 6.1567 4.7177 0.9804
Ti 2.0522 1.7505 0.4752
Ti 4.1045 1.9487 2.6474
Ti 2.0522 2.2189 5.1477
Ti 6.1567 5.1861 5.6529
N 4.1045 1.5830 0.4960
N 4.1045 5.3536 5.6320
Pt 2.0522 3.4683 3.0640



Record 5
5
Lattice="4.4620 0.0000 0.0000 0.0000 4.4620 0.0000 0.0000 0.0000 4.4620" Properties=species:S:1:pos:R:3 comment="NiPPt3 | Alexandria | PBE-GGA | optimized geometry" space_group="Pm-3m, No. 221" total_magnetization_mub_per_atom=0.20 dft_energy_ev_per_cell=-27.33 density_g_cm3=12.6 de_polymorph_ev_per_atom=0.6652 ef_ev_per_fu=2.0 pbc="T T T"
Pt 0.0000 2.2310 0.0000
Pt 2.2310 0.0000 0.0000
Pt 0.0000 0.0000 2.2310
P 0.0000 0.0000 0.0000
Ni 2.2310 2.2310 2.2310



Record 6
4
Lattice="4.2528 0.0000 0.0000 0.0000 4.2569 0.0000 0.0000 0.0000 4.2569" Properties=species:S:1:pos:R:3 comment="LuGaGe2 | Alexandria | PBE-GGA | optimized geometry" space_group="P4/mmm, No. 123" total_magnetization_mub_per_atom=0.00 dft_energy_ev_per_cell=-18.40 density_g_cm3=8.4 de_polymorph_ev_per_atom=0.0000 ef_ev_per_fu=-1.6 pbc="T T T"
Lu 2.1264 2.1285 2.1285
Ge 0.0000 0.0000 2.1285
Ge 0.0000 2.1285 0.0000
Ga 2.1264 0.0000 0.0000



Record 7
6
Lattice="-3.4729 -2.1719 0.3361 3.5150 -1.8853 -0.9904 1.5902 -1.2895 8.0987" Properties=species:S:1:pos:R:3 comment="AcYP2Rh2 | Alexandria | PBE-GGA | optimized geometry" space_group="P-3m1, No. 164" total_magnetization_mub_per_atom=0.00 dft_energy_ev_per_cell=-43.27 density_g_cm3=7.9 ef_ev_per_fu=-7.2 pbc="T T T"
P 1.6291 -2.3403 1.7096
P 0.0033 -3.0064 5.7349
Ac 0.0000 0.0000 0.0000
Y 0.7951 -0.6448 4.0494
Rh -0.7326 -2.4096 1.9869
Rh 2.3650 -2.9371 5.4576



Record 8
19
Lattice="8.3849 1.2874 1.5423 0.0014 8.4832 1.5423 0.0014 0.0016 8.6222" Properties=species:S:1:pos:R:3 comment="LaPm6Er12 | Alexandria | PBE-GGA | optimized geometry" space_group="R-3m, No. 166" total_magnetization_mub_per_atom=0.00 dft_energy_ev_per_cell=-86.12 density_g_cm3=8.2 de_polymorph_ev_per_atom=0.0861 ef_ev_per_fu=2.1 pbc="T T T"
Er 4.0184 1.7833 2.1364
Er 6.7373 5.1356 6.1518
Er 7.2342 8.4283 7.1511
Er 1.6504 4.6366 5.5551
Er 4.3328 5.0486 3.2894
Er 4.0543 7.4379 6.1522
Er 1.1535 1.3439 4.5558
Er 4.3693 7.9889 9.5705
Er 4.3334 2.3343 5.5547
Er 1.1535 4.2423 2.1364
Er 4.0549 4.7237 8.4175
Er 7.2342 5.5299 9.5706
Pm 1.9194 7.3905 3.6155
Pm 1.3736 6.7541 8.0918
Pm 6.4678 7.5360 3.7893
Pm 1.9199 2.2363 7.9176
Pm 6.4683 2.3817 8.0914
Pm 7.0141 3.0181 3.6151
La 0.0000 0.0000 0.0000



Record 9
10
Lattice="5.4748 0.0000 0.0000 0.0000 8.1956 -0.1009 0.0000 -3.7875 7.2686" Properties=species:S:1:pos:R:3 comment="Pa2ICl7 | Alexandria | PBE-GGA | optimized geometry" space_group="Cmmm, No. 65" total_magnetization_mub_per_atom=0.19 formation_energy_uncorrected_kcal_per_mol_atoms=-35.7 dft_energy_ev_per_cell=-48.97 density_g_cm3=4.3 pbc="T T T"
Cl 2.7374 1.8574 6.8431
Cl 0.0000 4.4694 2.1906
Cl 0.0000 -0.0613 4.9770
Cl 2.7374 -0.8611 2.4228
Cl 2.7374 2.5507 0.3246
Cl 2.7374 2.2040 3.5838
Cl 2.7374 5.2691 4.7449
Pa 2.7374 -0.1799 5.0499
Pa 2.7374 4.5880 2.1177
I 0.0000 0.0000 0.0000



Record 10
8
Lattice="-2.8008 -1.2279 -3.0236 5.3958 -3.5978 -3.5370 -3.3577 -5.1032 5.1826" Properties=species:S:1:pos:R:3 comment="K2CaNpSe4 | Alexandria | PBE-GGA | optimized geometry" space_group="P2/m, No. 10" total_magnetization_mub_per_atom=0.38 formation_energy_uncorrected_kcal_per_mol_atoms=-33.1 dft_energy_ev_per_cell=-42.56 density_g_cm3=4.6 pbc="T T T"
Se -1.3271 -4.9545 3.2413
Se -0.8826 -2.4511 -1.2454
Se 0.1199 -7.4778 -0.1326
Se 3.3651 -3.7465 -1.5957
K -3.0792 -3.1655 1.0795
K 1.0190 -4.3505 0.8228
Ca 1.2975 -2.4129 -3.2803
Np 0.0000 0.0000 0.0000



Record 11
4
Lattice="-0.7346 2.5546 4.3284 3.3483 -3.0135 2.3469 2.6078 2.2212 -0.8684" Properties=species:S:1:pos:R:3 comment="LaSc2Cu | Alexandria | PBE-GGA | optimized geometry" space_group="P4/mmm, No. 123" total_magnetization_mub_per_atom=0.15 dft_energy_ev_per_cell=-20.88 density_g_cm3=5.3 de_polymorph_ev_per_atom=0.2799 ef_ev_per_fu=0.8 pbc="T T T"
Sc 0.0000 0.0000 0.0000
Sc 1.3069 -0.2294 3.3376
Cu 0.9366 2.3879 1.7300
La 2.9781 -0.3961 0.7392



Record 12
10
Lattice="-1.6371 -0.8306 -2.5965 -0.3497 -2.9397 1.1608 -13.4881 4.4059 7.0948" Properties=species:S:1:pos:R:3 comment="TiNb4Tc5 | Alexandria | PBE-GGA | optimized geometry" space_group="P4/mmm, No. 123" total_magnetization_mub_per_atom=0.00 dft_energy_ev_per_cell=-103.93 density_g_cm3=9.4 ef_ev_per_fu=-3.9 pbc="T T T"
Tc -7.7374 0.3178 2.8295
Tc -2.3173 -1.4527 -0.0215
Tc -10.4477 1.2031 4.2552
Tc -5.0271 -0.5675 1.4039
Tc -13.1576 2.0883 5.6806
Nb -8.1113 2.6495 4.2666
Nb -10.8467 3.5431 5.7054
Nb -5.3768 1.7563 2.8282
Nb -2.6413 0.8628 1.3894
Ti 0.0000 0.0000 0.0000



Record 13
5
Lattice="4.0800 0.0000 0.0000 0.0000 4.0800 0.0000 0.0000 0.0000 5.6451" Properties=species:S:1:pos:R:3 comment="SbTeMoN2 | Alexandria | PBE-GGA | optimized geometry" space_group="P4/mmm, No. 123" total_magnetization_mub_per_atom=0.06 formation_energy_uncorrected_kcal_per_mol_atoms=16.6 dft_energy_ev_per_cell=-31.15 density_g_cm3=6.6 de_polymorph_ev_per_atom=0.0000 pbc="T T T"
Te 0.0000 0.0000 2.8226
N 2.0400 0.0000 0.0000
N 0.0000 2.0400 0.0000
Sb 2.0400 2.0400 2.8226
Mo 0.0000 0.0000 0.0000



Record 14
8
Lattice="6.0699 0.0000 0.0000 0.0000 6.0699 0.0000 3.0350 3.0350 5.4958" Properties=species:S:1:pos:R:3 comment="TaBiRu2 | Alexandria | PBE-GGA | optimized geometry" space_group="I-42d, No. 122" total_magnetization_mub_per_atom=0.00 dft_energy_ev_per_cell=-61.51 density_g_cm3=9.7 ef_ev_per_fu=3.5 pbc="T T T"
Bi 6.0699 3.0350 2.7479
Bi 0.0000 0.0000 0.0000
Ru 4.3903 1.5175 1.3739
Ru 4.5525 4.7146 4.1218
Ru 7.5874 7.4253 4.1218
Ru 1.6796 4.5525 1.3739
Ta 3.0350 6.0699 2.7479
Ta 3.0350 3.0350 0.0000



Record 15
12
Lattice="5.6924 0.0000 1.6942 2.5941 5.0670 1.6942 0.0536 0.0328 10.2303" Properties=species:S:1:pos:R:3 comment="Na2PmCd9 | Alexandria | PBE-GGA | optimized geometry" space_group="R-3m, No. 166" total_magnetization_mub_per_atom=0.00 dft_energy_ev_per_cell=-17.09 density_g_cm3=6.8 ef_ev_per_fu=-1.5 pbc="T T T"
Pm 0.0000 0.0000 0.0000
Na 1.2129 0.7416 6.3351
Na 7.1273 4.3581 7.2835
Cd 4.1701 2.5499 6.8093
Cd 5.5140 3.3716 2.2938
Cd 4.7504 4.6761 4.8595
Cd 4.9100 3.0023 9.6213
Cd 2.8262 1.7281 11.3248
Cd 2.0130 3.0023 8.7591
Cd 6.3272 2.0975 4.8595
Cd 3.5898 0.4236 8.7591
Cd 3.4302 2.0975 3.9973



Record 16
4
Lattice="-0.0228 6.4536 4.2697 -4.9314 5.2440 2.8394 2.1443 -7.3036 -1.3927" Properties=species:S:1:pos:R:3 comment="TaSiTe2 | Alexandria | PBE-GGA | optimized geometry" space_group="Immm, No. 71" total_magnetization_mub_per_atom=0.00 formation_energy_uncorrected_kcal_per_mol_atoms=-0.5 dft_energy_ev_per_cell=-23.65 density_g_cm3=7.7 pbc="T T T"
Te -0.4873 1.1506 0.6993
Te -1.9898 4.6982 2.8553
Si -0.1778 2.4994 3.2158
Ta -2.6321 1.8946 2.5006



Record 17
10
Lattice="-3.3045 0.8888 -1.6773 -4.1916 -6.9784 4.5603 -2.0149 5.7872 7.0364" Properties=species:S:1:pos:R:3 comment="Tb3Sm4Y3 | Alexandria | PBE-GGA | optimized geometry" space_group="Amm2, No. 38" total_magnetization_mub_per_atom=0.00 dft_energy_ev_per_cell=-51.21 density_g_cm3=6.7 ef_ev_per_fu=0.9 pbc="T T T"
Sm -5.4063 -1.0478 10.0962
Sm -2.8195 1.0683 6.1211
Sm -0.8038 -0.1645 1.4964
Sm -3.3836 -2.2399 5.4794
Y -5.8081 -0.3520 6.9271
Y -5.4748 -4.3695 4.1415
Y -3.7025 0.0521 2.9929
Tb -4.0356 4.0711 5.7787
Tb -5.1942 -4.0862 8.0681
Tb -2.1015 -3.4926 2.2896



Record 18
8
Lattice="4.5222 0.0000 0.0000 0.0000 7.7237 -0.0655 0.0000 2.8124 7.6020" Properties=species:S:1:pos:R:3 comment="Ac4HgPtCl2 | Alexandria | PBE-GGA | optimized geometry" space_group="P2/m, No. 10" total_magnetization_mub_per_atom=0.00 formation_energy_uncorrected_kcal_per_mol_atoms=-26.7 dft_energy_ev_per_cell=-35.75 density_g_cm3=8.6 pbc="T T T"
Ac 4.5222 2.7496 1.7456
Ac 2.2611 4.1486 5.8517
Ac 2.2612 6.3875 1.6848
Ac 0.0001 7.7865 5.7909
Cl 0.0000 2.8124 7.6020
Cl 2.2611 1.4062 3.8010
Hg 0.0000 5.2680 3.7683
Pt 2.2612 6.6742 7.5692



Record 19
4
Lattice="5.0709 -0.0019 -0.0292 1.9725 4.6715 0.0292 -3.5066 -2.3575 2.8036" Properties=species:S:1:pos:R:3 comment="Zn2SbRh | Alexandria | PBE-GGA | optimized geometry" space_group="I4/mmm, No. 139" total_magnetization_mub_per_atom=0.00 formation_energy_uncorrected_kcal_per_mol_atoms=-2.1 dft_energy_ev_per_cell=-14.39 density_g_cm3=8.9 pbc="T T T"
Rh 0.9938 2.3244 1.4164
Zn 3.5215 2.3347 0.0000
Zn 0.0002 0.0001 0.0000
Sb 2.5429 -0.0123 1.3872



Record 20
5
Lattice="4.4816 0.0000 0.0000 0.0000 3.9608 0.0000 0.0000 0.0000 4.4816" Properties=species:S:1:pos:R:3 comment="V2TcBRu | Alexandria | PBE-GGA | optimized geometry" space_group="P4/mmm, No. 123" total_magnetization_mub_per_atom=0.00 dft_energy_ev_per_cell=-37.81 density_g_cm3=6.5 ef_ev_per_fu=6.7 pbc="T T T"
V 0.0000 0.0000 2.2408
V 2.2408 0.0000 0.0000
B 0.0000 1.9804 0.0000
Tc 0.0000 0.0000 0.0000
Ru 2.2408 1.9804 2.2408



Record 21
5
Lattice="5.6679 0.0000 0.0000 0.0000 5.6679 0.0000 0.0000 0.0000 5.6679" Properties=species:S:1:pos:R:3 comment="Ba3BRh | Alexandria | PBE-GGA | optimized geometry" space_group="Pm-3m, No. 221" total_magnetization_mub_per_atom=0.00 dft_energy_ev_per_cell=-16.65 density_g_cm3=4.8 de_polymorph_ev_per_atom=0.0000 ef_ev_per_fu=3.2 pbc="T T T"
Ba 0.0000 2.8340 0.0000
Ba 2.8340 0.0000 0.0000
Ba 0.0000 0.0000 2.8340
B 0.0000 0.0000 0.0000
Rh 2.8340 2.8340 2.8340



Record 22
10
Lattice="-1.7548 -1.3382 -4.7001 -0.9408 -6.5367 -0.6558 -6.6254 -0.0391 -0.3834" Properties=species:S:1:pos:R:3 comment="MgGa4Ag5 | Alexandria | PBE-GGA | optimized geometry" space_group="I4, No. 79" total_magnetization_mub_per_atom=0.00 dft_energy_ev_per_cell=-27.31 density_g_cm3=7.2 ef_ev_per_fu=0.7 pbc="T T T"
Ag -4.0598 -2.6871 -3.2431
Ag -1.1499 -0.8769 -3.0799
Ag -6.7187 -3.9066 -4.7714
Ag -5.1312 -5.1279 -2.1482
Ag -2.4724 -3.9083 -0.6200
Ga -2.3660 -4.7455 -3.2957
Ga -3.1161 -1.0189 -1.2084
Ga -6.0787 -6.7989 -4.1930
Ga -6.8288 -3.0724 -2.1058
Mg -0.2577 -0.1965 -0.6902



Record 23
8
Lattice="-1.3058 3.0689 0.0865 -4.2552 -1.8679 2.0338 3.8684 1.3822 9.3629" Properties=species:S:1:pos:R:3 comment="HoPu3Pd4 | Alexandria | PBE-GGA | optimized geometry" space_group="Pmmm, No. 47" total_magnetization_mub_per_atom=0.68 dft_energy_ev_per_cell=-72.47 density_g_cm3=12.7 ef_ev_per_fu=-4.1 pbc="T T T"
Pd 0.0000 0.0000 0.0000
Pd 0.8182 0.1186 8.1467
Pd 1.9342 0.6911 4.6815
Pd -1.2050 -0.6043 3.2500
Pu -0.8463 1.2916 5.7416
Pu 2.2445 2.5697 7.0561
Pu 0.3180 1.8814 2.3933
Ho -2.7805 0.6005 1.0601



Record 24
8
Lattice="-5.2680 0.2757 2.3682 0.6045 -6.8353 2.1406 0.3641 -1.6858 6.5834" Properties=species:S:1:pos:R:3 comment="Tc2WSe5 | Alexandria | PBE-GGA | optimized geometry" space_group="Cm, No. 8" total_magnetization_mub_per_atom=0.00 formation_energy_uncorrected_kcal_per_mol_atoms=1.0 dft_energy_ev_per_cell=-50.78 density_g_cm3=5.8 pbc="T T T"
Tc -2.1248 -6.6288 3.5709
Tc -4.5502 -2.7533 4.5623
W 0.5314 -6.8234 2.1991
Se -3.0250 -4.6714 4.9946
Se -0.6314 -6.5999 8.7889
Se -0.9092 -3.4583 7.8050
Se -3.3751 -0.7137 3.7551
Se -4.3157 -2.0436 6.7622